Record 1
# CePa2CrC4 (GGA-PBE, relaxed)
data_CePa2CrC4
_symmetry_space_group_name_H-M 'C m c m'
_symmetry_Int_Tables_number 63
_symmetry_space_group_name_Hall '-C 2c 2'
_cell_length_a 3.551
_cell_length_b 11.661
_cell_length_c 12.107
_cell_angle_alpha 90.00
_cell_angle_beta 90.00
_cell_angle_gamma 90.00
loop_
_atom_site_label
_atom_site_type_symbol
_atom_site_fract_x
_atom_site_fract_y
_atom_site_fract_z
Ce1 Ce 0.000 0.100 0.250
Pa1 Pa 0.000 0.367 0.048
Cr1 Cr 0.000 0.165 0.750
C1 C 0.000 0.000 0.000
C2 C 0.000 0.263 0.629
C3 C 0.000 0.414 0.250
# Fermi-level density of states   9.26 states/eV/f.u.
# Spin magnetization   2.005 μB per formula unit
# Formation enthalpy at 0 K   -17.8 kJ/mol of atoms

Record 2
# CePu2Cr2C4 (GGA-PBE, relaxed)
data_CePu2Cr2C4
_symmetry_space_group_name_H-M 'C 1 2/m 1'
_symmetry_Int_Tables_number 12
_cell_length_a 13.796
_cell_length_b 3.303
_cell_length_c 5.626
_cell_angle_alpha 90.00
_cell_angle_beta 113.52
_cell_angle_gamma 90.00
loop_
_symmetry_equiv_pos_as_xyz
'x,y,z'
'-x,-y,-z'
'-x,y,-z'
'x,-y,z'
'x+1/2,y+1/2,z'
'-x+1/2,-y+1/2,-z'
'-x+1/2,y+1/2,-z'
'x+1/2,-y+1/2,z'
loop_
_atom_site_label
_atom_site_type_symbol
_atom_site_fract_x
_atom_site_fract_y
_atom_site_fract_z
Ce1 Ce 0.000 0.000 0.000
Pu1 Pu 0.139 0.000 0.768
Cr1 Cr 0.177 0.500 0.378
C1 C 0.026 0.500 0.409
C2 C 0.226 0.000 0.246
# Fermi-level density of states   14.23 states/eV/f.u.
# Spin magnetization   8.922 μB per formula unit
# Formation enthalpy at 0 K   -6.5 kJ/mol of atoms

Record 3
# Ce2ScCr2C4 (GGA-PBE, relaxed)
data_Ce2ScCr2C4
_symmetry_space_group_name_H-M 'C 1 2/m 1'
_symmetry_Int_Tables_number 12
_cell_length_a 12.861
_cell_length_b 3.315
_cell_length_c 5.927
_cell_angle_alpha 90.00
_cell_angle_beta 107.87
_cell_angle_gamma 90.00
loop_
_symmetry_equiv_pos_as_xyz
'x,y,z'
'-x,-y,-z'
'-x,y,-z'
'x,-y,z'
'x+1/2,y+1/2,z'
'-x+1/2,-y+1/2,-z'
'-x+1/2,y+1/2,-z'
'x+1/2,-y+1/2,z'
loop_
_atom_site_label
_atom_site_type_symbol
_atom_site_fract_x
_atom_site_fract_y
_atom_site_fract_z
Ce1 Ce 0.128 0.000 0.031
Sc1 Sc 0.000 0.000 0.500
Cr1 Cr 0.179 0.500 0.503
C1 C 0.043 0.500 0.268
C2 C 0.219 0.000 0.695
# Fermi-level density of states   8.27 states/eV/f.u.
# Spin magnetization   0.000 μB per formula unit
# Formation enthalpy at 0 K   -21.0 kJ/mol of atoms

Record 4
# CeSc2Cr2C4 (GGA-PBE, relaxed)
data_CeSc2Cr2C4
_symmetry_space_group_name_H-M 'C 1 2/m 1'
_symmetry_Int_Tables_number 12
_cell_length_a 12.906
_cell_length_b 3.146
_cell_length_c 5.781
_cell_angle_alpha 90.00
_cell_angle_beta 112.76
_cell_angle_gamma 90.00
loop_
_symmetry_equiv_pos_as_xyz
'x,y,z'
'-x,-y,-z'
'-x,y,-z'
'x,-y,z'
'x+1/2,y+1/2,z'
'-x+1/2,-y+1/2,-z'
'-x+1/2,y+1/2,-z'
'x+1/2,-y+1/2,z'
loop_
_atom_site_label
_atom_site_type_symbol
_atom_site_fract_x
_atom_site_fract_y
_atom_site_fract_z
Ce1 Ce 0.000 0.000 0.000
Sc1 Sc 0.149 0.000 0.540
Cr1 Cr 0.175 0.500 0.974
C1 C 0.017 0.500 0.632
C2 C 0.224 0.000 0.221
# Fermi-level density of states   6.12 states/eV/f.u.
# Spin magnetization   0.000 μB per formula unit
# Formation enthalpy at 0 K   -21.0 kJ/mol of atoms